! MnS2NO (PBE+U, optimized geometry); values from VASP
! **E above lowest polymorph**: 0.000 eV/atom
! **Calculated density**: 3.628 g/cm³
! **N(E_F)**: 4.93 states/eV/f.u.
&SYSTEM
  ibrav = 0, nat = 5, ntyp = 4
/
ATOMIC_SPECIES
Mn 54.94 Mn.upf
S 32.06 S.upf
N 14.01 N.upf
O 16.00 O.upf
ATOMIC_POSITIONS crystal
Mn 0.0000 0.0000 0.0000
S 0.0000 0.5000 0.0000
S 0.5000 0.0000 0.0000
N 0.0000 0.0000 0.5000
O 0.5000 0.5000 0.5000
CELL_PARAMETERS angstrom
4.4732 0.0000 0.0000
0.0000 4.4732 0.0000
0.0000 0.0000 3.4104